(1)
DFT (PBE) results for a geometry-optimized Ba8CaY3Cu12O24 structure.

Unit cell a=8.6792 b=8.6792 c=12.7983 alpha=105.77 beta=105.77 gamma=52.99
Last column: nearest neighbours and their distance in Å.
Fractional coordinates of all 48 atoms:
Ba 0.0749 0.0749 0.2997  8 O 2.82-2.93
Ba 0.1740 0.1740 0.6970  8 O 2.80-2.96
Ba 0.3255 0.3255 0.3029  8 O 2.80-2.96
Ba 0.4242 0.4242 0.6965  8 O 2.81-3.00
Ba 0.5758 0.5758 0.3035  8 O 2.81-3.00
Ba 0.6745 0.6745 0.6971  8 O 2.80-2.96
Ba 0.8260 0.8260 0.3030  8 O 2.80-2.96
Ba 0.9251 0.9251 0.7003  8 O 2.82-2.93
Ca 0.0000 0.0000 0.0000  8 O 2.49-2.51
Y 0.2487 0.2487 0.0000  8 O 2.40-2.42
Y 0.5000 0.5000 0.0000  8 O 2.41-2.44
Y 0.7513 0.7513 0.0000  8 O 2.40-2.42
Cu 0.0000 0.5000 0.5000  2 O 1.80
Cu 0.0919 0.5929 0.8674  4 O 1.94-1.96
Cu 0.1581 0.6591 0.1325  4 O 1.94-1.96
Cu 0.2495 0.7505 0.5000  2 O 1.80
Cu 0.3409 0.8419 0.8675  4 O 1.94-1.96
Cu 0.4071 0.9081 0.1326  4 O 1.94-1.96
Cu 0.5000 0.0000 0.5000  2 O 1.80
Cu 0.5929 0.0919 0.8674  4 O 1.94-1.96
Cu 0.6591 0.1581 0.1325  4 O 1.94-1.96
Cu 0.7505 0.2495 0.5000  2 O 1.80
Cu 0.8419 0.3409 0.8675  4 O 1.94-1.96
Cu 0.9081 0.4071 0.1326  4 O 1.94-1.96
O 0.0298 0.5298 0.1192  2 Cu 1.96
O 0.0367 0.5367 0.6480  1 Cu 1.80
O 0.0974 0.0974 0.8768  2 Cu 1.94
O 0.1590 0.1590 0.1232  2 Cu 1.94
O 0.2126 0.7127 0.3520  1 Cu 1.80
O 0.2275 0.7106 0.8759  2 Cu 1.94
O 0.2873 0.7874 0.6480  1 Cu 1.80
O 0.2894 0.7725 0.1241  2 Cu 1.94
O 0.3439 0.3439 0.8818  2 Cu 1.95
O 0.4029 0.4029 0.1182  2 Cu 1.95
O 0.4633 0.9633 0.3520  1 Cu 1.80
O 0.4702 0.9702 0.8808  2 Cu 1.96
O 0.5298 0.0298 0.1192  2 Cu 1.96
O 0.5367 0.0367 0.6480  1 Cu 1.80
O 0.5971 0.5971 0.8818  2 Cu 1.95
O 0.6561 0.6561 0.1182  2 Cu 1.95
O 0.7106 0.2275 0.8759  2 Cu 1.94
O 0.7127 0.2126 0.3520  1 Cu 1.80
O 0.7725 0.2894 0.1241  2 Cu 1.94
O 0.7874 0.2873 0.6480  1 Cu 1.80
O 0.8410 0.8410 0.8768  2 Cu 1.94
O 0.9026 0.9026 0.1232  2 Cu 1.94
O 0.9633 0.4633 0.3520  1 Cu 1.80
O 0.9702 0.4702 0.8808  2 Cu 1.96

E_form (uncorrected) in kJ/mol of atoms: -176.8
Calculated volume in Å³ per cell: 733.5

***

(2)
DFT (PBE) results for a geometry-optimized BaIn2Cl structure.

Unit cell a=4.0149 b=4.7417 c=7.0909 alpha=90.00 beta=93.53 gamma=90.00
Last column: nearest neighbours and their distance in Å.
Fractional coordinates of all 4 atoms:
Ba 0.0000 0.0000 0.0000  4 Cl 3.10-3.11
In 0.0145 0.5000 0.4994  4 In 3.10-3.11
In 0.5135 0.0000 0.4973  4 In 3.10-3.11
Cl 0.4988 0.5000 0.9976  4 Ba 3.10-3.11

E_form (uncorrected) in kJ/mol of atoms: -82.6
Energy above the lowest structure with this stoichiometry in kJ/mol of formula units: 0.0
Calculated volume in Å³ per cell: 134.7

***

(3)
DFT (PBE) results for a geometry-optimized Pm2DyZn2In2 structure.

Unit cell a=9.6912 b=9.6912 c=9.6912 alpha=28.21 beta=28.21 gamma=28.21
Last column: nearest neighbours and their distance in Å.
Fractional coordinates of all 7 atoms:
Pm 0.1268 0.1268 0.1268  3 In 3.20, 3 Zn 3.31, 3 Pm 3.52, 1 Dy 3.54
Pm 0.8732 0.8732 0.8732  3 In 3.20, 3 Zn 3.31, 3 Pm 3.52, 1 Dy 3.54
Dy 0.0000 0.0000 0.0000  6 Zn 3.19, 6 In 3.30, 2 Pm 3.54
Zn 0.3929 0.3929 0.3929  3 In 2.73
Zn 0.6071 0.6071 0.6071  3 In 2.73
In 0.2667 0.2667 0.2667  3 Zn 2.73
In 0.7333 0.7333 0.7333  3 Zn 2.73

DFT formation energy in eV per atom: -0.29
Calculated volume in Å³ per cell: 179.6

***

Number 1: DOS at the Fermi energy 27.593 states/eV/cell. Number 2: DOS at the Fermi energy 2.418 states/eV/cell. Number 3: DOS at the Fermi energy 3.533 states/eV/cell.